VASP calculation (PBE) on a relaxed structure of CoBOs2.

extended XYZ file:
```
4
Lattice="2.342 -0.605 3.310 2.717 2.852 1.138 -0.643 2.204 3.397" Properties=species:S:1:pos:R:3 pbc="T T T"
B 2.208 2.225 3.923
Co 1.104 1.113 1.961
Os 0.000 0.000 0.000
Os 3.312 3.338 5.884
```

final energy	-33.16	eV for the cell shown
crystal system	cubic